# 1
DyPIr2 | GGA-PBE | optimized geometry

Lattice parameters (Å, degrees): 4.0606 8.0990 8.5807 90.00 90.00 104.52
Sites, in units of the cell vectors:
P 0.8574 0.7148 0.9778
P 0.8574 0.7148 0.5222
P 0.1426 0.2852 0.4778
P 0.1426 0.2852 0.0222
Ir 0.8878 0.7756 0.2500
Ir 0.9421 0.8842 0.7500
Ir 0.3014 0.6029 0.4152
Ir 0.6986 0.3971 0.5848
Ir 0.0579 0.1158 0.2500
Ir 0.6986 0.3971 0.9152
Ir 0.3014 0.6029 0.0848
Ir 0.1122 0.2244 0.7500
Dy 0.6909 0.3818 0.2500
Dy 0.3091 0.6182 0.7500
Dy 0.5000 0.0000 0.0000
Dy 0.5000 0.0000 0.5000

**Crystal system**: orthorhombic
**ΔE_f**: -0.854 eV per atom



# 2
DyP2Ir5 | GGA-PBE | optimized geometry

Lattice parameters (Å, degrees): 3.9267 6.1263 6.1263 68.03 71.31 71.31
Sites, in units of the cell vectors:
Ir 0.6466 0.5592 0.1476
Ir 0.3534 0.8524 0.4408
Ir 0.3534 0.4408 0.8524
Ir 0.6466 0.1476 0.5592
Ir 0.0000 0.5000 0.5000
Dy 0.0000 0.0000 0.0000
P 0.7521 0.7479 0.7479
P 0.2479 0.2521 0.2521

**Crystal system**: orthorhombic
**ΔE_f**: -0.662 eV per atom



# 3
Dy2P2Ir5 | GGA-PBE | optimized geometry

Lattice parameters (Å, degrees): 4.1065 4.1065 8.7399 90.00 90.00 90.00
Sites, in units of the cell vectors:
Ir 0.5000 0.5000 0.5000
Ir 0.5000 0.0000 0.7398
Ir 0.5000 0.0000 0.2602
Ir 0.0000 0.5000 0.7398
Ir 0.0000 0.5000 0.2602
Dy 0.0000 0.0000 0.5000
Dy 0.0000 0.0000 0.0000
P 0.5000 0.5000 0.1343
P 0.5000 0.5000 0.8657

**Crystal system**: tetragonal
**ΔE_f**: -0.877 eV per atom



# 4
Dy2PIr3 | GGA-PBE | optimized geometry

Lattice parameters (Å, degrees): 5.0596 5.0596 5.0596 66.26 66.26 66.26
Sites, in units of the cell vectors:
Ir 0.0000 0.5000 0.0000
Ir 0.5000 0.0000 0.0000
Ir 0.0000 0.0000 0.5000
P 0.0000 0.0000 0.0000
Dy 0.3748 0.3748 0.3748
Dy 0.6252 0.6252 0.6252

**Crystal system**: trigonal
**ΔE_f**: -0.881 eV per atom



# 5
Dy3P3Ir2 | GGA-PBE | optimized geometry

Lattice parameters (Å, degrees): 4.1046 5.5666 14.7306 90.00 90.00 111.63
Sites, in units of the cell vectors:
P 0.4254 0.8507 0.5561
P 0.2796 0.5593 0.2500
P 0.4254 0.8507 0.9439
P 0.5746 0.1493 0.0561
P 0.7204 0.4407 0.7500
P 0.5746 0.1493 0.4439
Dy 0.4339 0.8678 0.7500
Dy 0.1467 0.2934 0.9106
Dy 0.8533 0.7066 0.4106
Dy 0.1467 0.2934 0.5894
Dy 0.5661 0.1322 0.2500
Dy 0.8533 0.7066 0.0894
Ir 0.1411 0.2823 0.1154
Ir 0.8589 0.7177 0.8846
Ir 0.8589 0.7177 0.6154
Ir 0.1411 0.2823 0.3846

**Crystal system**: orthorhombic
**ΔE_f**: -1.161 eV per atom



# 6
DyP2Ir5Pt | GGA-PBE | optimized geometry

Lattice parameters (Å, degrees): 3.9525 3.9525 10.5075 90.00 90.00 90.00
Sites, in units of the cell vectors:
Ir 0.5000 0.5000 0.5000
Ir 0.0000 0.5000 0.8306
Ir 0.0000 0.5000 0.1694
Ir 0.5000 0.0000 0.8306
Ir 0.5000 0.0000 0.1694
P 0.5000 0.5000 0.7176
P 0.5000 0.5000 0.2824
Pt 0.0000 0.0000 0.0000
Dy 0.0000 0.0000 0.5000

**Crystal system**: tetragonal
**ΔE_f**: -0.328 eV per atom



# 7
DyP2IrRh5 | GGA-PBE | optimized geometry

Lattice parameters (Å, degrees): 3.9152 3.9152 10.5716 90.00 90.00 90.00
Sites, in units of the cell vectors:
Dy 0.5000 0.5000 0.5000
P 0.0000 0.0000 0.7137
P 0.0000 0.0000 0.2863
Rh 0.5000 0.0000 0.8348
Rh 0.0000 0.5000 0.8348
Rh 0.0000 0.5000 0.1652
Rh 0.0000 0.0000 0.5000
Rh 0.5000 0.0000 0.1652
Ir 0.0000 0.0000 0.0000

**Crystal system**: tetragonal
**ΔE_f**: -0.217 eV per atom



# 8
Dy3P2IrRh9 | GGA-PBE | optimized geometry

Lattice parameters (Å, degrees): 5.7858 5.7858 9.5648 90.00 90.00 120.00
Sites, in units of the cell vectors:
P 0.6667 0.3333 0.8436
P 0.3333 0.6667 0.1564
Dy 0.6667 0.3333 0.4031
Dy 0.0000 0.0000 0.0000
Dy 0.3333 0.6667 0.5969
Rh 0.1541 0.8459 0.2855
Rh 0.8459 0.6918 0.7145
Rh 0.5000 0.0000 0.0000
Rh 0.1541 0.3082 0.2855
Rh 0.6918 0.8459 0.2855
Rh 0.5000 0.5000 0.0000
Rh 0.8459 0.1541 0.7145
Rh 0.0000 0.5000 0.0000
Rh 0.3082 0.1541 0.7145
Ir 0.0000 0.0000 0.5000

**Crystal system**: trigonal
**ΔE_f**: -0.487 eV per atom



What are the raw total energy values for these records? In order: -7.787 -8.127 -8.025 -7.747 -7.131 -7.636 -6.999 -7.130 eV per atom.